(1)
The following is a DFT calculation (GGA-PBE) of a geometry-optimized Mo2IrC structure.

Results
The formation energy is 14.55 kcal/mol of atoms. The calculation puts the calculated volume at 16.8 A^3/atom.

Cell lengths 5.0244, 5.0244, 6.4122 Å; angles 66.93, 66.93, 90.00 degrees
Fractional coordinates of all 8 atoms:
Mo  0.8750  0.7989  0.7500
Ir  0.0000  0.0000  0.0000
Ir  0.7500  0.2500  0.5000
Mo  0.3750  0.4511  0.7500
C  0.2500  0.7500  0.5000
Mo  0.2011  0.6250  0.2500
Mo  0.5489  0.1250  0.2500
C  0.5000  0.5000  0.0000

=====

(2)
The following is a DFT calculation (GGA-PBE) of a geometry-optimized MoIr3C structure.

Results
The formation energy is 13.91 kcal/mol of atoms. The calculation puts the calculated volume at 13.9 A^3/atom.

Cell lengths 4.1086, 4.1086, 4.1086 Å; angles 90.00, 90.00, 90.00 degrees
Last column: magnetic moment on the atom in μB.
Fractional coordinates of all 5 atoms:
Ir  0.5000  0.0000  0.0000  0.11
Ir  0.0000  0.0000  0.5000  0.18
Ir  0.0000  0.5000  0.0000  0.17
Mo  0.5000  0.5000  0.5000  1.90
C  0.0000  0.0000  0.0000  0.05